Entry 1:
The following is a PBE calculation of Sr2ReBi after structural relaxation, from Alexandria.

Geometry as extended XYZ:
```
8
Lattice="11.328 0.000 0.000 0.000 11.328 0.000 5.664 5.664 2.639" Properties=species:S:1:pos:R:3 pbc="T T T"
Re 5.664 5.664 0.000
Re 5.664 11.328 1.319
Sr 4.789 8.496 0.660
Sr 8.496 10.453 1.979
Sr 6.538 2.832 0.660
Sr 14.159 12.202 1.979
Bi 11.328 5.664 1.319
Bi 0.000 0.000 0.000
```

For the calculated volume, the calculation gives 169.3 Å³/f.u. As for the formation energy: 0.539 eV per atom.

=====

Entry 2:
The following is a PBE calculation of SrReBi2 after structural relaxation, from Alexandria.

Geometry as extended XYZ:
```
4
Lattice="0.000 3.661 3.661 3.661 0.000 3.661 3.661 3.661 0.000" Properties=species:S:1:pos:R:3 pbc="T T T"
Re 3.661 3.661 3.661
Bi 1.830 1.830 1.830
Bi 5.491 5.491 5.491
Sr 0.000 0.000 0.000
```

For the calculated volume, the calculation gives 98.1 Å³/f.u. The offset from the most stable computed form comes out at 12.2 meV per atom. As for the formation energy: 0.411 eV per atom.

=====

Entry 3:
The following is a PBE calculation of TaRe2Bi after structural relaxation, from Alexandria.

Geometry as extended XYZ:
```
8
Lattice="4.119 0.000 0.000 0.000 4.119 0.000 2.060 2.060 9.706" Properties=species:S:1:pos:R:3 pbc="T T T"
Ta 2.060 2.060 0.000
Ta 2.060 4.119 4.853
Re 2.776 1.030 2.427
Re 1.343 3.089 2.427
Re 3.089 3.403 7.280
Re 5.149 4.835 7.280
Bi 4.119 2.060 4.853
Bi 0.000 0.000 0.000
```

For the calculated volume, the calculation gives 82.3 Å³/f.u. As for the formation energy: 1.091 eV per atom.

=====

Entry 4:
The following is a PBE calculation of TaReBi2 after structural relaxation, from Alexandria.

Geometry as extended XYZ:
```
8
Lattice="-4.483 -0.567 4.656 4.503 -2.327 4.051 1.268 4.319 6.267" Properties=species:S:1:pos:R:3 pbc="T T T"
Re -1.602 1.152 7.639
Re 0.000 0.000 0.000
Bi 2.629 -0.438 4.620
Bi -1.981 0.427 5.044
Bi 1.027 0.676 12.372
Bi 0.899 2.184 7.913
Ta 0.010 -1.447 4.354
Ta 2.890 0.272 7.336
```

For the calculated volume, the calculation gives 130.6 Å³/f.u. The offset from the most stable computed form comes out at 827.7 meV per atom. As for the formation energy: 1.776 eV per atom.